Entry 1:
PBE-GGA La3Eu, optimized geometry; crystal system = hexagonal; DFT formation energy = 6.6 kJ/mol of atoms
1.0
7.632 0.000 0.000
-3.816 6.610 0.000
0.000 0.000 6.048
La Eu
6 2
Direct
0.164 0.328 0.250
0.164 0.836 0.250
0.328 0.164 0.750
0.672 0.836 0.250
0.836 0.164 0.750
0.836 0.672 0.750
0.333 0.667 0.750
0.667 0.333 0.250



Entry 2:
PBE-GGA BaCaYIr2, optimized geometry; crystal system = tetragonal; DFT formation energy = 97.7 kJ/mol of atoms
1.0
5.175 0.000 0.000
0.000 5.175 0.000
0.000 0.000 5.217
Ba Ca Y Ir
1 1 1 2
Direct
0.000 0.000 0.000
0.500 0.500 0.500
0.500 0.500 0.000
0.000 0.500 0.500
0.500 0.000 0.500



Entry 3:
PBE-GGA Li3Ge2Au4, optimized geometry; crystal system = monoclinic; DFT formation energy = -37.5 kJ/mol of atoms
1.0
4.896 -2.281 0.000
4.896 2.281 0.000
-4.769 0.000 6.875
Li Ge Au
3 2 4
Direct
0.000 0.000 0.000
0.335 0.335 0.330
0.665 0.665 0.670
0.398 0.398 0.722
0.602 0.602 0.278
0.063 0.063 0.386
0.288 0.288 0.935
0.712 0.712 0.065
0.937 0.937 0.614



Entry 4:
PBE-GGA Pr3Zn2Ru4, optimized geometry; crystal system = monoclinic; DFT formation energy = -16.4 kJ/mol of atoms
1.0
5.359 -2.207 0.000
5.359 2.207 0.000
-1.278 0.000 8.198
Pr Zn Ru
3 2 4
Direct
0.000 0.000 0.000
0.370 0.370 0.625
0.630 0.630 0.375
0.335 0.335 0.231
0.665 0.665 0.769
0.076 0.076 0.627
0.246 0.246 0.919
0.754 0.754 0.081
0.924 0.924 0.373